4
Lattice="2.699 0.000 0.000 0.000 2.699 0.000 0.000 0.000 8.698" Properties=species:S:1:pos:R:3 comment="AlMo2W (GGA-PBE, relaxed)" spacegroup="P4/mmm, No. 123" energy_ha_per_atom=-0.3472 volume_a3_per_cell=63.4 magnetic_moment_mub_per_cell=0.000 delta_e_f_ev_per_atom=0.1406 pbc="T T T"
Al 0.000 0.000 0.000
Mo 1.350 1.350 2.072
Mo 1.350 1.350 6.627
W 0.000 0.000 4.349